(i)
# TiNbAl

An optimized crystal structure of TiNbAl (GGA-PBE, the Alexandria database).

```
TiNbAl
1.0
2.127 -1.839 0.000
2.127 1.839 0.000
-2.123 0.000 6.580
Ti Nb Al
1 1 1
direct
0.000 0.000 0.000
0.673 0.673 0.344
0.337 0.337 0.673
```

=====

(ii)
# TiNbAl

An optimized crystal structure of TiNbAl (GGA-PBE, the Alexandria database).

```
TiNbAl
1.0
3.390 0.000 0.000
0.000 3.390 0.000
0.000 0.000 8.993
Ti Nb Al
2 2 2
direct
0.250 0.250 0.085
0.750 0.750 0.915
0.250 0.250 0.418
0.750 0.750 0.582
0.250 0.250 0.749
0.750 0.750 0.251
```

=====

Quick one: most stable of them? (i)

=====

(i)
# TiNbAl

An optimized crystal structure of TiNbAl (GGA-PBE, the Alexandria database).

```
TiNbAl
1.0
2.990 0.000 0.000
0.000 4.271 0.000
0.000 0.000 4.710
Ti Nb Al
1 1 1
direct
0.000 0.000 0.000
0.500 0.500 0.000
0.500 0.000 0.500
```

=====

(ii)
# TiNbAl

An optimized crystal structure of TiNbAl (GGA-PBE, the Alexandria database).

```
TiNbAl
1.0
3.634 -3.663 0.000
3.634 3.663 0.000
0.000 0.000 4.794
Ti Nb Al
2 2 2
direct
0.000 0.000 0.000
0.500 0.500 0.500
0.174 0.826 0.500
0.826 0.174 0.500
0.335 0.335 0.000
0.665 0.665 0.000
```

=====

Quick one: most stable of them? (i)

=====

(i)
# TiNbAl3

An optimized crystal structure of TiNbAl3 (GGA-PBE, the Alexandria database).

```
TiNbAl3
1.0
4.750 0.000 0.000
0.000 5.408 0.000
-2.376 0.000 6.434
Ti Nb Al
2 2 6
direct
0.003 0.250 0.008
0.997 0.750 0.992
0.397 0.250 0.795
0.603 0.750 0.205
0.192 0.003 0.385
0.192 0.497 0.385
0.384 0.750 0.767
0.616 0.250 0.233
0.808 0.503 0.615
0.808 0.997 0.615
```

=====

(ii)
# TiNbAl3

An optimized crystal structure of TiNbAl3 (GGA-PBE, the Alexandria database).

```
TiNbAl3
1.0
6.881 -2.255 0.000
6.881 2.255 0.000
-0.964 0.000 5.317
Ti Nb Al
2 2 6
direct
0.199 0.199 0.095
0.801 0.801 0.905
0.399 0.399 0.406
0.601 0.601 0.594
0.001 0.001 0.253
0.220 0.220 0.615
0.404 0.404 0.910
0.596 0.596 0.090
0.780 0.780 0.385
0.999 0.999 0.747
```

=====

Quick one: most stable of them? (ii)

=====

(i)
# TiNb2Al3

An optimized crystal structure of TiNb2Al3 (GGA-PBE, the Alexandria database).

```
TiNb2Al3
1.0
2.779 0.000 0.000
0.000 14.198 0.000
-0.868 0.000 5.185
Ti Nb Al
2 4 6
direct
0.000 0.000 0.000
0.000 0.500 0.500
0.188 0.177 0.745
0.188 0.323 0.245
0.812 0.677 0.755
0.812 0.823 0.255
0.000 0.000 0.500
0.000 0.500 0.000
0.367 0.650 0.252
0.367 0.850 0.752
0.633 0.150 0.248
0.633 0.350 0.748
```

=====

(ii)
# TiNb2Al3

An optimized crystal structure of TiNb2Al3 (GGA-PBE, the Alexandria database).

```
TiNb2Al3
1.0
2.440 -7.295 0.000
2.440 7.295 0.000
0.000 0.000 2.821
Ti Nb Al
1 2 3
direct
0.000 0.000 0.000
0.334 0.666 0.000
0.666 0.334 0.000
0.167 0.833 0.500
0.500 0.500 0.500
0.833 0.167 0.500
```

=====

Quick one: most stable of them? (ii)

=====

(i)
# Ti3NbAl

An optimized crystal structure of Ti3NbAl (GGA-PBE, the Alexandria database).

```
Ti3NbAl
1.0
-2.558 3.743 4.823
2.558 -3.743 4.823
2.558 3.743 -4.823
Ti Nb Al
6 2 2
direct
0.000 0.000 0.500
0.000 0.500 0.000
0.270 0.207 0.063
0.355 0.793 0.563
0.645 0.207 0.437
0.730 0.793 0.937
0.236 0.986 0.250
0.764 0.014 0.750
0.000 0.500 0.500
0.500 0.500 0.000
```

=====

(ii)
# Ti3NbAl

An optimized crystal structure of Ti3NbAl (GGA-PBE, the Alexandria database).

```
Ti3NbAl
1.0
4.763 0.000 0.000
0.000 4.763 0.000
0.000 0.000 4.763
Ti Nb Al
3 1 1
direct
0.000 0.000 0.500
0.000 0.500 0.000
0.500 0.000 0.000
0.000 0.000 0.000
0.500 0.500 0.500
```

=====

(iii)
# Ti3NbAl

An optimized crystal structure of Ti3NbAl (GGA-PBE, the Alexandria database).

```
Ti3NbAl
1.0
4.653 0.000 0.000
0.000 4.653 0.000
0.000 0.000 4.653
Ti Nb Al
3 1 1
direct
0.000 0.000 0.500
0.000 0.500 0.000
0.500 0.000 0.000
0.500 0.500 0.500
0.000 0.000 0.000
```

=====

Quick one: most stable of them? (i)

=====

(i)
# Ti2NbAl2

An optimized crystal structure of Ti2NbAl2 (GGA-PBE, the Alexandria database).

```
Ti2NbAl2
1.0
7.312 0.000 0.000
0.000 7.312 0.000
0.000 0.000 3.148
Ti Nb Al
4 2 4
direct
0.175 0.325 0.000
0.325 0.825 0.000
0.675 0.175 0.000
0.825 0.675 0.000
0.000 0.000 0.500
0.500 0.500 0.500
0.124 0.624 0.500
0.376 0.124 0.500
0.624 0.876 0.500
0.876 0.376 0.500
```

=====

(ii)
# Ti2NbAl2

An optimized crystal structure of Ti2NbAl2 (GGA-PBE, the Alexandria database).

```
Ti2NbAl2
1.0
7.729 0.000 0.000
0.000 7.729 0.000
0.000 0.000 2.836
Ti Nb Al
4 2 4
direct
0.119 0.381 0.000
0.381 0.881 0.000
0.619 0.119 0.000
0.881 0.619 0.000
0.000 0.000 0.000
0.500 0.500 0.000
0.179 0.679 0.500
0.321 0.179 0.500
0.679 0.821 0.500
0.821 0.321 0.500
```

=====

Quick one: most stable of them? (i)

=====

(i)
# Ti4Nb4Al

An optimized crystal structure of Ti4Nb4Al (GGA-PBE, the Alexandria database).

```
Ti4Nb4Al
1.0
5.801 0.000 0.000
0.000 5.801 0.000
0.000 0.000 9.872
Ti Nb Al
8 8 2
direct
0.043 0.250 0.209
0.250 0.043 0.709
0.250 0.457 0.709
0.457 0.250 0.209
0.543 0.750 0.791
0.750 0.543 0.291
0.750 0.957 0.291
0.957 0.750 0.791
0.003 0.250 0.499
0.250 0.003 0.999
0.250 0.497 0.999
0.497 0.250 0.499
0.503 0.750 0.501
0.750 0.503 0.001
0.750 0.997 0.001
0.997 0.750 0.501
0.250 0.750 0.250
0.750 0.250 0.750
```

=====

(ii)
# Ti4Nb4Al

An optimized crystal structure of Ti4Nb4Al (GGA-PBE, the Alexandria database).

```
Ti4Nb4Al
1.0
0.000 4.977 7.047
2.241 0.000 7.047
2.241 4.977 0.000
Ti Nb Al
4 4 1
direct
0.163 0.837 0.163
0.172 0.172 0.828
0.828 0.828 0.172
0.837 0.163 0.837
0.166 0.508 0.492
0.492 0.834 0.166
0.508 0.166 0.834
0.834 0.492 0.508
0.500 0.500 0.500
```

=====

Quick one: most stable of them? (ii)

=====

(i)
# NbAl2Tl2

An optimized crystal structure of NbAl2Tl2 (GGA-PBE, the Alexandria database).

```
NbAl2Tl2
1.0
7.231 0.000 0.000
0.000 7.231 0.000
0.000 0.000 3.999
Nb Al Tl
2 4 4
direct
0.000 0.000 0.000
0.500 0.500 0.000
0.137 0.363 0.000
0.363 0.863 0.000
0.637 0.137 0.000
0.863 0.637 0.000
0.169 0.669 0.500
0.331 0.169 0.500
0.669 0.831 0.500
0.831 0.331 0.500
```

=====

(ii)
# NbAl2Tl2

An optimized crystal structure of NbAl2Tl2 (GGA-PBE, the Alexandria database).

```
NbAl2Tl2
1.0
-2.000 2.000 7.345
2.000 -2.000 7.345
2.000 2.000 -7.345
Nb Al Tl
1 2 2
direct
0.000 0.000 0.000
0.417 0.417 0.000
0.583 0.583 0.000
0.250 0.750 0.500
0.750 0.250 0.500
```

=====

Quick one: most stable of them? (i)

=====

(i)
# NbAlTl2

An optimized crystal structure of NbAlTl2 (GGA-PBE, the Alexandria database).

```
NbAlTl2
1.0
-3.936 3.936 2.928
3.936 -3.936 2.928
3.936 3.936 -2.928
Nb Al Tl
2 2 4
direct
0.000 0.000 0.000
0.750 0.250 0.500
0.250 0.750 0.500
0.500 0.500 0.000
0.138 0.125 0.513
0.375 0.862 0.987
0.612 0.625 0.487
0.875 0.388 0.013
```

=====

(ii)
# NbAlTl2

An optimized crystal structure of NbAlTl2 (GGA-PBE, the Alexandria database).

```
NbAlTl2
1.0
0.000 3.559 3.559
3.559 0.000 3.559
3.559 3.559 0.000
Nb Al Tl
1 1 2
direct
0.000 0.000 0.000
0.500 0.500 0.500
0.250 0.250 0.250
0.750 0.750 0.750
```

=====

Quick one: most stable of them? (i)

=====

(i)
# TmNbAl2

An optimized crystal structure of TmNbAl2 (GGA-PBE, the Alexandria database).

```
TmNbAl2
1.0
4.319 0.000 0.000
0.000 4.319 0.000
0.000 0.000 4.121
Tm Nb Al
1 1 2
direct
0.000 0.000 0.000
0.500 0.500 0.000
0.000 0.500 0.500
0.500 0.000 0.500
```

=====

(ii)
# TmNbAl2

An optimized crystal structure of TmNbAl2 (GGA-PBE, the Alexandria database).

```
TmNbAl2
1.0
3.522 0.000 0.000
0.000 3.522 0.000
0.000 0.000 6.288
Tm Nb Al
1 1 2
direct
0.000 0.000 0.000
0.000 0.000 0.500
0.500 0.500 0.292
0.500 0.500 0.708
```

=====

(iii)
# TmNbAl2

An optimized crystal structure of TmNbAl2 (GGA-PBE, the Alexandria database).

```
TmNbAl2
1.0
1.537 0.888 9.790
-1.537 0.888 9.790
0.000 -1.775 9.790
Tm Nb Al
1 1 2
direct
0.000 0.000 0.000
0.500 0.500 0.500
0.243 0.243 0.243
0.757 0.757 0.757
```

=====

Quick one: most stable of them? (ii)

=====

(i)
# UNb2Al

An optimized crystal structure of UNb2Al (GGA-PBE, the Alexandria database).

```
UNb2Al
1.0
4.539 0.000 0.000
0.000 4.539 0.000
0.000 0.000 3.597
U Nb Al
1 2 1
direct
0.000 0.000 0.000
0.000 0.500 0.500
0.500 0.000 0.500
0.500 0.500 0.000
```

=====

(ii)
# UNb2Al

An optimized crystal structure of UNb2Al (GGA-PBE, the Alexandria database).

```
UNb2Al
1.0
1.640 0.947 8.295
-1.640 0.947 8.295
0.000 -1.894 8.295
U Nb Al
1 2 1
direct
0.000 0.000 0.000
0.251 0.251 0.251
0.749 0.749 0.749
0.500 0.500 0.500
```

=====

Quick one: most stable of them? (i)